(1)
Here is an optimized crystal structure of NaAlZnNi2 from Alexandria via LeMat-Bulk. Energies are from GGA-PBE.

Values from the calculation:
Formation energy   1.38 eV/atom
Raw total energy   -11.01 eV per cell
DOS at the Fermi energy   3.6 states/eV/f.u.

Unit cell a=4.391 b=4.391 c=4.740 alpha=90.00 beta=90.00 gamma=90.00
Space group P4/mmm (No. 123)
Symmetry-distinct sites (fractional):
Na 0.000 0.000 0.000 [1 per cell]
Al 0.000 0.000 0.500 [1 per cell]
Zn 0.500 0.500 0.500 [1 per cell]
Ni 0.000 0.500 0.000 [2 per cell]


(2)
Here is an optimized crystal structure of ScCdAs from Alexandria via LeMat-Bulk. Energies are from GGA-PBE.

Values from the calculation:
Formation energy   -0.43 eV/atom
Raw total energy   -52.78 eV per cell
DOS at the Fermi energy   1.2 states/eV/f.u.
Energy above the lowest structure with this stoichiometry   65.7 meV/atom

Unit cell a=4.229 b=5.408 c=11.471 alpha=90.00 beta=90.00 gamma=90.00
Space group Fmm2 (No. 42)
Symmetry-distinct sites (fractional):
Sc 0.000 0.000 0.000 [4 per cell]
Cd 0.000 0.000 0.303 [4 per cell]
As 0.000 0.000 0.632 [4 per cell]


(3)
Here is an optimized crystal structure of ThMgCo2H8 from Alexandria via LeMat-Bulk. Energies are from GGA-PBE.

Values from the calculation:
Raw total energy   -157.04 eV per cell
DOS at the Fermi energy   2.0 states/eV/f.u.

Unit cell a=4.5185 b=4.5185 c=16.4811 alpha=90.00 beta=90.00 gamma=120.00
Space group R-3 (No. 148, hexagonal axes)
Symmetry-distinct sites (fractional):
Th 0.0000 0.0000 0.0000 [3 per cell]
Mg 0.0000 0.0000 0.5000 [3 per cell]
Co 0.0000 0.0000 0.1945 [6 per cell]
H 0.0000 0.0000 0.3010 [6 per cell]
H 0.0303 0.7509 0.8804 [18 per cell]


(4)
Here is an optimized crystal structure of CsMnFe2Br8 from Alexandria via LeMat-Bulk. Energies are from GGA-PBE.

Values from the calculation:
Raw total energy   -98.77 eV per cell
DOS at the Fermi energy   9.1 states/eV/f.u.

Unit cell a=11.191 b=7.604 c=10.375 alpha=90.00 beta=98.90 gamma=90.00
Space group C2/m (No. 12)
Symmetry-distinct sites (fractional):
Cs 0.000 0.000 0.000 [2 per cell]
Mn 0.000 0.000 0.500 [2 per cell]
Fe 0.111 0.500 0.301 [4 per cell]
Br 0.022 0.247 0.694 [8 per cell]
Br 0.179 0.500 0.097 [4 per cell]
Br 0.241 0.000 0.506 [4 per cell]


(5)
Here is an optimized crystal structure of AcZnCu2Au4 from Alexandria via LeMat-Bulk. Energies are from GGA-PBE.

Values from the calculation:
Formation energy   -0.32 eV/atom
Raw total energy   -87.81 eV per cell
DOS at the Fermi energy   1.7 states/eV/f.u.

Unit cell a=4.4620 b=4.4620 c=27.4516 alpha=90.00 beta=90.00 gamma=120.00
Space group R-3m (No. 166, hexagonal axes)
Symmetry-distinct sites (fractional):
Ac 0.0000 0.0000 0.0000 [3 per cell]
Zn 0.0000 0.0000 0.5000 [3 per cell]
Cu 0.0000 0.0000 0.2343 [6 per cell]
Au 0.0000 0.0000 0.1310 [6 per cell]
Au 0.0000 0.0000 0.4033 [6 per cell]


(6)
Here is an optimized crystal structure of La9Tl3Zn2 from Alexandria via LeMat-Bulk. Energies are from GGA-PBE.

Values from the calculation:
Formation energy   -0.08 eV/atom
Raw total energy   -110.13 eV per cell
DOS at the Fermi energy   16.6 states/eV/f.u.

Unit cell a=17.748 b=8.001 c=7.513 alpha=90.00 beta=114.99 gamma=90.00
Space group C2/m (No. 12)
Symmetry-distinct sites (fractional):
La 0.000 0.000 0.000 [2 per cell]
La 0.135 0.280 0.875 [8 per cell]
La 0.135 0.281 0.395 [8 per cell]
Tl 0.000 0.500 0.000 [2 per cell]
Tl 0.222 0.000 0.222 [4 per cell]
Zn 0.000 0.145 0.500 [4 per cell]